The following is a DFT calculation (PBE-GGA) of a geometry-optimized HIBr structure.

Uncorrected energy (eV/atom): -2.20
Crystal system: triclinic

Unit cell a=3.1332 b=4.9560 c=7.5795 alpha=94.37 beta=101.39 gamma=108.09
Atoms (fractional coordinates):
H 0.0000 0.0000 0.0000
I 0.2738 0.2737 0.2918
Br 0.8256 0.8266 0.8138

---

The following is a DFT calculation (PBE-GGA) of a geometry-optimized BaZn2F structure.

Formation energy (no corrections) (meV per atom): -1084
Crystal system: tetragonal

Unit cell a=7.2955 b=7.2955 c=7.2955 alpha=96.62 beta=96.62 gamma=140.30
Atoms (fractional coordinates):
Ba 0.0000 0.0000 0.0000
Ba 0.7500 0.2500 0.5000
Zn 0.1429 0.1250 0.5179
Zn 0.3750 0.8571 0.9821
Zn 0.6071 0.6250 0.4821
Zn 0.8750 0.3929 0.0179
F 0.2500 0.7500 0.5000
F 0.5000 0.5000 0.0000

---

no.,calculated volume (Å³/cell)
1,108
2,233